Record 1
12
Lattice="-3.4535 2.3686 2.6371 5.8988 -4.1856 6.8409 2.5977 7.3036 -3.1582" Properties=species:S:1:pos:R:3 comment="LaCe3Pb2, relaxed, DFT PBE" delta_e_f_ev_per_atom=-0.311 space_group="C2/m, No. 12" total_magnetization_mub_per_atom=0.2317 pbc="T T T"
La 3.9702 5.8354 4.6016
La 1.0728 -0.3488 1.7182
Ce 3.7896 1.9076 3.2495
Ce 3.2202 2.3833 6.7201
Ce 1.0598 5.4841 1.1057
Ce 3.9833 0.0025 5.2141
Ce 1.8228 3.1033 -0.4003
Ce 1.2534 3.5791 3.0703
Pb 6.0548 2.9440 5.2849
Pb -1.0117 2.5426 1.0349
Pb 0.8059 0.8834 4.9055
Pb 4.2371 4.6032 1.4143



Record 2
9
Lattice="-5.1215 -0.4428 0.5232 0.9191 -5.8787 4.0205 2.5840 6.5852 5.3524" Properties=species:S:1:pos:R:3 comment="La3Ce2Pb4, relaxed, DFT PBE" delta_e_f_ev_per_atom=-0.437 polymorph_energy_mev_per_atom=0 space_group="C2/m, No. 12" total_magnetization_mub_per_atom=0.2470 pbc="T T T"
La 0.5322 -1.8274 3.6625
La -2.1506 2.0910 6.2336
La 0.0000 0.0000 0.0000
Ce -2.4841 1.3684 2.3570
Ce 0.8658 -1.1048 7.5390
Pb 0.6753 2.1331 8.4147
Pb 0.2642 1.5158 3.8694
Pb -2.2936 -1.8695 1.4814
Pb -1.8826 -1.2521 6.0267



Record 3
14
Lattice="-6.3171 0.0889 2.9906 4.3849 0.1286 5.4418 0.0305 9.9604 -0.2947" Properties=species:S:1:pos:R:3 comment="La3CePb3, relaxed, DFT PBE" delta_e_f_ev_per_atom=-0.374 space_group="C2/m, No. 12" total_magnetization_mub_per_atom=0.1458 pbc="T T T"
La -1.0738 3.0712 4.6385
La 2.3696 5.1013 4.8294
La -4.2713 5.0766 3.3083
La 2.0457 0.1199 4.9060
La -3.9779 0.0975 3.5264
La -0.8279 7.1066 3.4992
Ce -1.3402 9.8881 5.6907
Ce -0.5616 0.2898 2.4470
Pb -1.8582 2.6046 8.0705
Pb -3.8086 7.5825 5.4940
Pb 0.9841 7.6003 6.5917
Pb 1.9069 2.5954 2.6438
Pb -2.8858 2.5776 1.5460
Pb -0.0435 7.5733 0.0672